Compound: ZrSc2Co
Source: Alexandria via LeMat-Bulk
Functional: PBE
Structure: relaxed

Cell: 9.176 9.176 9.176 Å, 20.10 20.10 20.10°
Element x y z (fractional)
Co 0.750 0.750 0.750
Sc 0.017 0.017 0.017
Sc 0.483 0.483 0.483
Zr 0.250 0.250 0.250

Space-group type: R-3m
ΔE_f, eV per atom: 0.0193
Polymorph energy (0 for the lowest one), eV per formula unit: 0.931
Crystal system: trigonal